Below is a relaxed ZnFePb2 crystal, with properties calculated at the PBE-GGA level.

Computed properties:
- DFT total energy (eV per atom) = -3.988

CIF file:
```
data_ZnFePb2
_symmetry_space_group_name_H-M 'P 4 m m'
_symmetry_Int_Tables_number 99
_cell_length_a 3.198
_cell_length_b 3.198
_cell_length_c 8.808
_cell_angle_alpha 90.00
_cell_angle_beta 90.00
_cell_angle_gamma 90.00
loop_
_symmetry_equiv_pos_as_xyz
'x,y,z'
'-y,x,z'
'-x,-y,z'
'y,-x,z'
'-x,y,z'
'y,x,z'
'x,-y,z'
'-y,-x,z'
loop_
_atom_site_label
_atom_site_fract_x
_atom_site_fract_y
_atom_site_fract_z
Zn1 0.000 0.000 0.000
Fe1 0.500 0.500 0.140
Pb1 0.000 0.000 0.370
Pb2 0.500 0.500 0.745
```

---

Below is a relaxed ZnFe4Pb crystal, with properties calculated at the PBE-GGA level.

Computed properties:
- DFT total energy (eV per atom) = -6.174

CIF file:
```
data_ZnFe4Pb
_symmetry_space_group_name_H-M 'F -4 3 m'
_symmetry_Int_Tables_number 216
_symmetry_space_group_name_Hall 'F -4 2 3'
_cell_length_a 7.036
_cell_length_b 7.036
_cell_length_c 7.036
_cell_angle_alpha 90.00
_cell_angle_beta 90.00
_cell_angle_gamma 90.00
loop_
_atom_site_label
_atom_site_fract_x
_atom_site_fract_y
_atom_site_fract_z
Zn1 0.000 0.000 0.000
Fe1 0.126 0.126 0.374
Pb1 0.250 0.250 0.750
```

---

Below is a relaxed Zn2FePb crystal, with properties calculated at the PBE-GGA level.

Computed properties:
- DFT total energy (eV per atom) = -3.183

CIF file:
```
data_Zn2FePb
_symmetry_space_group_name_H-M 'F -4 3 m'
_symmetry_Int_Tables_number 216
_symmetry_space_group_name_Hall 'F -4 2 3'
_cell_length_a 6.640
_cell_length_b 6.640
_cell_length_c 6.640
_cell_angle_alpha 90.00
_cell_angle_beta 90.00
_cell_angle_gamma 90.00
loop_
_atom_site_label
_atom_site_fract_x
_atom_site_fract_y
_atom_site_fract_z
Zn1 0.000 0.000 0.000
Zn2 0.250 0.250 0.250
Fe1 0.000 0.000 0.500
Pb1 0.250 0.250 0.750
```

---

Below is a relaxed Zn2FePb crystal, with properties calculated at the PBE-GGA level.

Computed properties:
- DFT total energy (eV per atom) = -3.336

CIF file:
```
data_Zn2FePb
_symmetry_space_group_name_H-M 'R -3 m'
_symmetry_Int_Tables_number 166
_symmetry_space_group_name_Hall '-R 3 2"'
_cell_length_a 3.0767
_cell_length_b 3.0767
_cell_length_c 27.6185
_cell_angle_alpha 90.00
_cell_angle_beta 90.00
_cell_angle_gamma 120.00
loop_
_atom_site_label
_atom_site_fract_x
_atom_site_fract_y
_atom_site_fract_z
Zn1 0.0000 0.0000 0.2341
Fe1 0.0000 0.0000 0.5000
Pb1 0.0000 0.0000 0.0000
```

---

Below is a relaxed ZrFe2Pb crystal, with properties calculated at the PBE-GGA level.

Computed properties:
- DFT total energy (eV per atom) = -6.991

CIF file:
```
data_ZrFe2Pb
_symmetry_space_group_name_H-M 'F -4 3 m'
_symmetry_Int_Tables_number 216
_symmetry_space_group_name_Hall 'F -4 2 3'
_cell_length_a 6.563
_cell_length_b 6.563
_cell_length_c 6.563
_cell_angle_alpha 90.00
_cell_angle_beta 90.00
_cell_angle_gamma 90.00
loop_
_atom_site_label
_atom_site_fract_x
_atom_site_fract_y
_atom_site_fract_z
Zr1 0.000 0.000 0.000
Fe1 0.000 0.000 0.500
Fe2 0.250 0.250 0.750
Pb1 0.250 0.250 0.250
```

---

Below is a relaxed Zr2FePb crystal, with properties calculated at the PBE-GGA level.

Computed properties:
- DFT total energy (eV per atom) = -7.312

CIF file:
```
data_Zr2FePb
_symmetry_space_group_name_H-M 'R -3 m'
_symmetry_Int_Tables_number 166
_symmetry_space_group_name_Hall '-R 3 2"'
_cell_length_a 3.4625
_cell_length_b 3.4625
_cell_length_c 25.0275
_cell_angle_alpha 90.00
_cell_angle_beta 90.00
_cell_angle_gamma 120.00
loop_
_atom_site_label
_atom_site_fract_x
_atom_site_fract_y
_atom_site_fract_z
Zr1 0.0000 0.0000 0.2292
Fe1 0.0000 0.0000 0.5000
Pb1 0.0000 0.0000 0.0000
```

---

Below is a relaxed Zr4FePb crystal, with properties calculated at the PBE-GGA level.

Computed properties:
- DFT total energy (eV per atom) = -7.662

CIF file:
```
data_Zr4FePb
_symmetry_space_group_name_H-M 'P 1 21/c 1'
_symmetry_Int_Tables_number 14
_cell_length_a 8.003
_cell_length_b 6.715
_cell_length_c 5.561
_cell_angle_alpha 90.00
_cell_angle_beta 108.36
_cell_angle_gamma 90.00
loop_
_symmetry_equiv_pos_as_xyz
'x,y,z'
'-x,-y,-z'
'-x,y+1/2,-z+1/2'
'x,-y+1/2,z+1/2'
loop_
_atom_site_label
_atom_site_fract_x
_atom_site_fract_y
_atom_site_fract_z
Zr1 0.135 0.146 0.156
Zr2 0.243 0.665 0.289
Fe1 0.000 0.000 0.500
Pb1 0.500 0.000 0.500
```

---

Below is a relaxed ZrFe2Pb crystal, with properties calculated at the PBE-GGA level.

Computed properties:
- DFT total energy (eV per atom) = -7.128

CIF file:
```
data_ZrFe2Pb
_symmetry_space_group_name_H-M 'I m m 2'
_symmetry_Int_Tables_number 44
_cell_length_a 3.418
_cell_length_b 4.501
_cell_length_c 9.113
_cell_angle_alpha 90.00
_cell_angle_beta 90.00
_cell_angle_gamma 90.00
loop_
_symmetry_equiv_pos_as_xyz
'x,y,z'
'-x,-y,z'
'-x,y,z'
'x,-y,z'
'x+1/2,y+1/2,z+1/2'
'-x+1/2,-y+1/2,z+1/2'
'-x+1/2,y+1/2,z+1/2'
'x+1/2,-y+1/2,z+1/2'
loop_
_atom_site_label
_atom_site_fract_x
_atom_site_fract_y
_atom_site_fract_z
Zr1 0.000 0.000 0.000
Fe1 0.000 0.000 0.470
Fe2 0.000 0.500 0.774
Pb1 0.000 0.500 0.224
```

---

Below is a relaxed ZrFePb crystal, with properties calculated at the PBE-GGA level.

Computed properties:
- DFT total energy (eV per atom) = -6.749

CIF file:
```
data_ZrFePb
_symmetry_space_group_name_H-M 'P 3 m 1'
_symmetry_Int_Tables_number 156
_cell_length_a 4.6048
_cell_length_b 4.6048
_cell_length_c 3.2601
_cell_angle_alpha 90.00
_cell_angle_beta 90.00
_cell_angle_gamma 120.00
loop_
_symmetry_equiv_pos_as_xyz
'x,y,z'
'-y,x-y,z'
'-x+y,-x,z'
'-y,-x,z'
'-x+y,y,z'
'x,x-y,z'
loop_
_atom_site_label
_atom_site_fract_x
_atom_site_fract_y
_atom_site_fract_z
Zr1 0.0000 0.0000 0.0000
Fe1 0.3333 0.6667 0.3518
Pb1 0.6667 0.3333 0.5024
```

---

Below is a relaxed Zr2FePb crystal, with properties calculated at the PBE-GGA level.

Computed properties:
- DFT total energy (eV per atom) = -7.422

CIF file:
```
data_Zr2FePb
_symmetry_space_group_name_H-M 'P 4/m m m'
_symmetry_Int_Tables_number 123
_symmetry_space_group_name_Hall '-P 4 2'
_cell_length_a 3.166
_cell_length_b 3.166
_cell_length_c 8.141
_cell_angle_alpha 90.00
_cell_angle_beta 90.00
_cell_angle_gamma 90.00
loop_
_atom_site_label
_atom_site_fract_x
_atom_site_fract_y
_atom_site_fract_z
Zr1 0.000 0.000 0.195
Fe1 0.500 0.500 0.000
Pb1 0.500 0.500 0.500
```

---

Below is a relaxed Zr2FePb crystal, with properties calculated at the PBE-GGA level.

Computed properties:
- DFT total energy (eV per atom) = -7.010

CIF file:
```
data_Zr2FePb
_symmetry_space_group_name_H-M 'F -4 3 m'
_symmetry_Int_Tables_number 216
_symmetry_space_group_name_Hall 'F -4 2 3'
_cell_length_a 6.821
_cell_length_b 6.821
_cell_length_c 6.821
_cell_angle_alpha 90.00
_cell_angle_beta 90.00
_cell_angle_gamma 90.00
loop_
_atom_site_label
_atom_site_fract_x
_atom_site_fract_y
_atom_site_fract_z
Zr1 0.000 0.000 0.000
Zr2 0.250 0.250 0.250
Fe1 0.000 0.000 0.500
Pb1 0.250 0.250 0.750
```

---

Below is a relaxed ZrFe2Pb crystal, with properties calculated at the PBE-GGA level.

Computed properties:
- DFT total energy (eV per atom) = -6.696

CIF file:
```
data_ZrFe2Pb
_symmetry_space_group_name_H-M 'I -4 2 d'
_symmetry_Int_Tables_number 122
_symmetry_space_group_name_Hall 'I -4 2bw'
_cell_length_a 4.096
_cell_length_b 4.096
_cell_length_c 19.011
_cell_angle_alpha 90.00
_cell_angle_beta 90.00
_cell_angle_gamma 90.00
loop_
_atom_site_label
_atom_site_fract_x
_atom_site_fract_y
_atom_site_fract_z
Zr1 0.000 0.000 0.000
Fe1 0.198 0.250 0.125
Pb1 0.000 0.000 0.500
```

---

Below is a relaxed ZrFe2Pb crystal, with properties calculated at the PBE-GGA level.

Computed properties:
- DFT total energy (eV per atom) = -7.050

CIF file:
```
data_ZrFe2Pb
_symmetry_space_group_name_H-M 'P 4/m m m'
_symmetry_Int_Tables_number 123
_symmetry_space_group_name_Hall '-P 4 2'
_cell_length_a 3.248
_cell_length_b 3.248
_cell_length_c 6.194
_cell_angle_alpha 90.00
_cell_angle_beta 90.00
_cell_angle_gamma 90.00
loop_
_atom_site_label
_atom_site_fract_x
_atom_site_fract_y
_atom_site_fract_z
Zr1 0.000 0.000 0.000
Fe1 0.500 0.500 0.243
Pb1 0.000 0.000 0.500
```

---

Below is a relaxed Zr2FePb crystal, with properties calculated at the PBE-GGA level.

Computed properties:
- DFT total energy (eV per atom) = -7.303

CIF file:
```
data_Zr2FePb
_symmetry_space_group_name_H-M 'P 4/m m m'
_symmetry_Int_Tables_number 123
_symmetry_space_group_name_Hall '-P 4 2'
_cell_length_a 4.554
_cell_length_b 4.554
_cell_length_c 3.945
_cell_angle_alpha 90.00
_cell_angle_beta 90.00
_cell_angle_gamma 90.00
loop_
_atom_site_label
_atom_site_fract_x
_atom_site_fract_y
_atom_site_fract_z
Zr1 0.000 0.500 0.000
Fe1 0.000 0.000 0.500
Pb1 0.500 0.500 0.500
```

---

Below is a relaxed ZrFePb crystal, with properties calculated at the PBE-GGA level.

Computed properties:
- DFT total energy (eV per atom) = -6.787

CIF file:
```
data_ZrFePb
_symmetry_space_group_name_H-M 'I 4 m m'
_symmetry_Int_Tables_number 107
_symmetry_space_group_name_Hall 'I 4 -2'
_cell_length_a 3.345
_cell_length_b 3.345
_cell_length_c 10.807
_cell_angle_alpha 90.00
_cell_angle_beta 90.00
_cell_angle_gamma 90.00
loop_
_atom_site_label
_atom_site_fract_x
_atom_site_fract_y
_atom_site_fract_z
Zr1 0.000 0.000 0.000
Fe1 0.000 0.000 0.626
Pb1 0.000 0.000 0.289
```